Record 1
Below is BeTlAg after structural relaxation, with properties calculated at the PBE level.

Energy above the lowest structure with this stoichiometry (meV per atom): 0.0
DFT formation energy (kJ/mol of atoms): 38.7

Cell: 3.201 3.201 11.414 Å, 90.00 90.00 90.00°
Space group I4mm (No. 107)
Inequivalent atoms, fractional coordinates:
Be: 0.000 0.000 0.000 x2
Tl: 0.000 0.000 0.291 x2
Ag: 0.000 0.000 0.572 x2

=====

Record 2
Below is Sm6GeAs2Se3 after structural relaxation, with properties calculated at the PBE level.

Calculated total energy (eV/atom): -6.025

Cell: 18.377 4.210 8.422 Å, 90.00 103.46 90.00°
Space group C2/m (No. 12)
Inequivalent atoms, fractional coordinates:
Sm: 0.002 0.000 0.242 x4
Sm: 0.163 0.500 0.087 x4
Sm: 0.169 0.500 0.577 x4
Ge: 0.000 0.500 0.000 x2
As: 0.167 0.000 0.334 x4
Se: 0.000 0.500 0.500 x2
Se: 0.168 0.000 0.832 x4